26
Lattice="5.377 -3.454 0.000 5.377 3.454 0.000 -2.278 0.000 13.917" Properties=species:S:1:pos:R:3 comment="K5V2O6 (PBE+U, relaxed)" total_energy_ha_per_atom=-0.205 space_group="C2/c, No. 15" pbc="T T T"
K 3.669 2.669 10.437
K 4.723 1.894 0.079
K 3.065 0.505 4.031
K 4.893 1.894 6.879
K 1.926 -0.505 10.989
K 6.551 0.505 2.927
K 3.584 -1.894 7.038
K 5.412 -0.505 9.886
K 3.754 -1.894 13.837
K 4.808 -2.669 3.479
V 1.665 0.898 7.993
V 2.803 -0.898 1.035
V 5.674 0.898 12.882
V 6.812 -0.898 5.924
O 0.226 0.349 8.952
O 1.246 0.622 6.122
O 1.365 -0.349 1.994
O 0.107 -0.622 13.080
O 3.219 0.313 8.678
O 4.358 -0.313 1.720
O 4.119 0.313 12.197
O 5.258 -0.313 5.239
O 8.370 0.622 0.836
O 7.112 0.349 11.923
O 7.231 -0.622 7.795
O 8.251 -0.349 4.964